LuBeGaPd after structural relaxation. Source: OQMD, functional PBE.

Summary:
Total DFT energy (no corrections) (eV/atom): -4.531

Lattice parameters (Å, degrees): 4.473 4.473 4.473 60.00 60.00 60.00
Positions (direct):
Be: 0.750 0.750 0.750
Ga: 0.250 0.250 0.250
Lu: 0.500 0.500 0.500
Pd: 0.000 0.000 0.000

PmSiPt after structural relaxation. Source: OQMD, functional PBE.

Summary:
Total DFT energy (no corrections) (eV/atom): -5.454

Lattice parameters (Å, degrees): 4.730 4.730 4.730 60.00 60.00 60.00
Positions (direct):
Pm: 0.000 0.000 0.000
Pt: 0.250 0.250 0.250
Si: 0.750 0.750 0.750

Tb2HoAl3NiGe2 after structural relaxation. Source: OQMD, functional PBE.

Summary:
Total DFT energy (no corrections) (eV/atom): -5.178

Lattice parameters (Å, degrees): 4.185 6.954 6.954 119.98 90.00 90.00
Positions (direct):
Al: 0.500 0.229 0.001
Al: 0.500 0.001 0.229
Al: 0.500 0.771 0.771
Ge: 0.500 0.665 0.334
Ge: 0.500 0.334 0.665
Ho: 0.000 0.402 0.402
Ni: 0.000 0.001 0.001
Tb: 0.000 0.000 0.597
Tb: 0.000 0.597 0.000

NaGaBAu after structural relaxation. Source: OQMD, functional PBE.

Summary:
Total DFT energy (no corrections) (eV/atom): -2.893

Lattice parameters (Å, degrees): 4.464 4.464 4.464 60.00 60.00 60.00
Positions (direct):
Au: 0.750 0.750 0.750
B: 0.000 0.000 0.000
Ga: 0.250 0.250 0.250
Na: 0.500 0.500 0.500

Zr4SnPC2 after structural relaxation. Source: OQMD, functional PBE.

Summary:
Total DFT energy (no corrections) (eV/atom): -8.691

Lattice parameters (Å, degrees): 3.424 3.424 13.462 90.00 90.00 120.00
Positions (direct):
C: 0.333 0.667 0.231
C: 0.333 0.667 0.769
P: 0.000 0.000 0.000
Sn: 0.667 0.333 0.500
Zr: 0.667 0.333 0.134
Zr: 0.000 0.000 0.321
Zr: 0.000 0.000 0.679
Zr: 0.667 0.333 0.866

Y5Er2Ni2Te2 after structural relaxation. Source: OQMD, functional PBE.

Summary:
Total DFT energy (no corrections) (eV/atom): -6.035

Lattice parameters (Å, degrees): 9.353 9.353 9.353 156.21 66.87 118.54
Positions (direct):
Er: 0.028 0.895 0.133
Er: 0.762 0.895 0.867
Ni: 0.644 0.405 0.240
Ni: 0.165 0.405 0.760
Te: 0.139 0.139 0.000
Te: 0.743 0.243 0.500
Y: 0.478 0.478 0.000
Y: 0.413 0.098 0.315
Y: 0.099 0.746 0.354
Y: 0.392 0.746 0.646
Y: 0.783 0.098 0.685

PrGdAs2Os2O2 after structural relaxation. Source: OQMD, functional PBE.

Summary:
Total DFT energy (no corrections) (eV/atom): -8.041

Lattice parameters (Å, degrees): 4.097 4.097 8.194 90.00 90.00 90.00
Positions (direct):
As: 0.500 0.500 0.331
As: 0.000 0.000 0.663
Gd: 0.000 0.000 0.135
O: 0.500 0.000 0.008
O: 0.000 0.500 0.008
Os: 0.500 0.000 0.496
Os: 0.000 0.500 0.496
Pr: 0.500 0.500 0.862

GdYNb2Si2 after structural relaxation. Source: OQMD, functional PBE.

Summary:
Total DFT energy (no corrections) (eV/atom): -7.659

Lattice parameters (Å, degrees): 4.014 4.014 7.816 90.00 90.00 90.00
Positions (direct):
Gd: 0.500 0.500 0.647
Nb: 0.500 0.000 0.000
Nb: 0.000 0.500 0.000
Si: 0.500 0.500 0.239
Si: 0.000 0.000 0.761
Y: 0.000 0.000 0.353

SrBi2Mo after structural relaxation. Source: OQMD, functional PBE.

Summary:
Total DFT energy (no corrections) (eV/atom): -4.550

Lattice parameters (Å, degrees): 5.332 5.332 5.332 60.00 60.00 60.00
Positions (direct):
Bi: 0.250 0.250 0.250
Bi: 0.500 0.500 0.500
Mo: 0.750 0.750 0.750
Sr: 0.000 0.000 0.000

KLiZrTe3 after structural relaxation. Source: OQMD, functional PBE.

Summary:
Total DFT energy (no corrections) (eV/atom): -4.488

Lattice parameters (Å, degrees): 15.755 4.248 11.459 90.00 90.00 90.00
Positions (direct):
K: 0.228 0.250 0.038
K: 0.728 0.250 0.462
K: 0.272 0.750 0.538
K: 0.772 0.750 0.962
Li: 0.015 0.750 0.093
Li: 0.515 0.750 0.407
Li: 0.485 0.250 0.593
Li: 0.985 0.250 0.907
Te: 0.406 0.750 0.068
Te: 0.909 0.250 0.129
Te: 0.635 0.750 0.234
Te: 0.135 0.750 0.266
Te: 0.409 0.250 0.371
Te: 0.906 0.750 0.432
Te: 0.094 0.250 0.568
Te: 0.591 0.750 0.629
Te: 0.865 0.250 0.734
Te: 0.365 0.250 0.766
Te: 0.091 0.750 0.871
Te: 0.594 0.250 0.932
Zr: 0.514 0.250 0.170
Zr: 0.014 0.250 0.330
Zr: 0.986 0.750 0.670
Zr: 0.486 0.750 0.830

NbCuTcB after structural relaxation. Source: OQMD, functional PBE.

Summary:
Total DFT energy (no corrections) (eV/atom): -7.187

Lattice parameters (Å, degrees): 4.206 4.206 4.206 60.00 60.00 60.00
Positions (direct):
B: 0.000 0.000 0.000
Cu: 0.750 0.750 0.750
Nb: 0.500 0.500 0.500
Tc: 0.250 0.250 0.250